# 1
A plane-wave DFT calculation with PBE was carried out for crystalline ZrAuSe at its relaxed geometry.

Lattice parameters (Å, degrees): 3.8014 3.8014 36.1358 90.00 90.00 120.00
Space group R-3m (No. 166, hexagonal axes)
One atom of each set of equivalent atoms:
Zr (0.0000, 0.0000, 0.0751) [6 per cell]
Au (0.0000, 0.0000, 0.3590) [6 per cell]
Se (0.0000, 0.0000, 0.2160) [6 per cell]

Summary:
- raw total energy (Ry/atom) = -0.4343
- calculated volume (Å³/atom) = 25.12
- polymorph energy (0 for the lowest one) (eV/atom) = 0.000
- ΔE_f (raw) (eV/atom) = -0.805

---

# 2
A plane-wave DFT calculation with PBE was carried out for crystalline CsBa2B2O6 at its relaxed geometry.

Lattice parameters (Å, degrees): 6.044 6.439 6.956 98.47 115.04 104.75
Space group P-1 (No. 2)
One atom of each set of equivalent atoms:
Cs (0.000, 0.000, 0.000) [1 per cell]
Ba (0.378, 0.288, 0.673) [2 per cell]
B (0.298, 0.749, 0.717) [2 per cell]
O (0.124, 0.858, 0.641) [2 per cell]
O (0.328, 0.659, 0.892) [2 per cell]
O (0.450, 0.726, 0.617) [2 per cell]

Summary:
- raw total energy (Ry/atom) = -0.4956
- calculated volume (Å³/atom) = 20.63
- ΔE_f (raw) (eV/atom) = -2.397

---

> What is the ΔE_f (raw) in the second record?

-2.397 eV/atom